Here is AgW2Br after structural relaxation from Alexandria. Energies are from GGA-PBE.

The structure in extended XYZ format:
```
4
Lattice="3.324 0.000 0.000 0.000 3.145 0.000 -0.470 0.000 8.076" Properties=species:S:1:pos:R:3 pbc="T T T"
Ag 0.000 0.000 0.000
W -0.069 0.000 3.213
W 1.720 1.573 1.917
Br -0.101 1.573 5.358
```

Summary:
formation energy from raw total energies = 0.497 eV/atom
total magnetization = 0.00 μB/f.u.
space-group type = Pm, No. 6
excess energy over the best structure of this formula in the dataset = 0.000 eV per atom
Fermi-level density of states = 2.5 states/eV per cell